Er5NpRu4: optimized geometry, PBE-GGA.

calculated formation energy	-0.3019	eV per atom
size of the total moment	1.9	μB per formula unit
density of states at the Fermi level	1.23	states/eV per atom
final energy	-7.5878	eV per atom

a b c (Å): 7.8104 7.8104 6.7347
angles (deg): 100.63 100.63 34.47
With the nearest neighbours (Å) after each atom.
Element x y z (fractional)
Er 0.0000 0.0000 0.0000  6 Ru 2.94-2.96
Er 0.3270 0.3270 0.4583  4 Ru 2.82-3.06
Er 0.3335 0.3335 0.9601  5 Ru 2.86-3.20
Er 0.6665 0.6665 0.0399  5 Ru 2.86-3.20
Er 0.6730 0.6730 0.5417  4 Ru 2.82-3.06
Np 0.0000 0.0000 0.5000  6 Ru 2.52-2.77
Ru 0.1456 0.1456 0.7613  1 Np 2.52, 2 Er 2.82
Ru 0.4987 0.4987 0.2734  2 Np 2.77, 5 Er 2.86-3.06, 1 Ru 3.04
Ru 0.5013 0.5013 0.7266  2 Np 2.77, 5 Er 2.86-3.06, 1 Ru 3.04
Ru 0.8544 0.8544 0.2387  1 Np 2.52, 2 Er 2.82